Entry 1:
{
  "formula": "AcRh2Pb3",
  "functional": "GGA-PBE",
  "state": "relaxed",
  "cell": [[7.812, 0.000, 0.000], [-3.906, 6.765, 0.000], [0.000, 0.000, 6.118]],
  "species": ["Ac", "Ac", "Rh", "Rh", "Rh", "Rh", "Pb", "Pb", "Pb", "Pb", "Pb", "Pb"],
  "frac_coords": [[0.333, 0.667, 0.288], [0.667, 0.333, 0.712], [0.000, 0.000, 0.000], [0.000, 0.500, 0.000], [0.500, 0.000, 0.000], [0.500, 0.500, 0.000], [0.163, 0.325, 0.735], [0.163, 0.837, 0.735], [0.325, 0.163, 0.265], [0.675, 0.837, 0.735], [0.837, 0.163, 0.265], [0.837, 0.675, 0.265]],
  "e_form_ev_per_atom": -0.248,
  "energy_ha_per_atom": -0.192,
  "total_magnetization_mub_per_cell": 0.00,
  "sg": "P-3m1 (164)"
}

***

Entry 2:
{
  "formula": "MgHgOs2",
  "functional": "GGA-PBE",
  "state": "relaxed",
  "cell": [[2.841, 0.000, 0.000], [-1.421, 2.461, 0.000], [0.000, 0.000, 28.121]],
  "species": ["Mg", "Mg", "Mg", "Hg", "Hg", "Hg", "Os", "Os", "Os", "Os", "Os", "Os"],
  "frac_coords": [[0.000, 0.000, 0.000], [0.333, 0.667, 0.667], [0.667, 0.333, 0.333], [0.000, 0.000, 0.500], [0.333, 0.667, 0.167], [0.667, 0.333, 0.833], [0.000, 0.000, 0.253], [0.000, 0.000, 0.747], [0.333, 0.667, 0.413], [0.333, 0.667, 0.920], [0.667, 0.333, 0.080], [0.667, 0.333, 0.587]],
  "e_form_ev_per_atom": 0.618,
  "energy_ha_per_atom": -0.201,
  "total_magnetization_mub_per_cell": 0.00,
  "sg": "R-3m (166)"
}